# CsBeCrF6

A relaxed CsBeCrF6 crystal (PBE+U, the Alexandria database).

Cell lengths 5.002, 5.002, 6.630 Å; angles 90.00, 90.00, 60.00 degrees
Site moments in Bohr magnetons follow the coordinates.
Element x y z (fractional)
Cs 0.000 0.000 0.000  0.00
Be 0.333 0.333 0.500  0.01
Cr 0.667 0.667 0.500  2.95
F 0.024 0.366 0.345  0.00
F 0.366 0.024 0.655  0.00
F 0.610 0.366 0.655  0.00
F 0.024 0.610 0.655  0.00
F 0.366 0.610 0.345  0.00
F 0.610 0.024 0.345  0.00

Volume: 143.65 Å³/cell
Spin magnetization: 3.00 μB/cell
E: -5.46 eV/atom